LiAcSn2Pt | PBE | relaxed

The space group is I-4m2 (No. 119) and the conventional cell measures 4.645, 4.645 and 11.265 Å, with angles of 90.00, 90.00 and 90.00 degrees. The asymmetric unit holds Li at (0.000, 0.000, 0.000), Ac at (0.000, 0.500, 0.750), Sn at (0.000, 0.500, 0.122) and Pt at (0.000, 0.000, 0.500).

The calculation puts the formation energy at -0.735 eV/atom.